VASP calculation (PBE) on TiBeOs after structural relaxation.

Cell lengths 3.0951, 3.0951, 8.1999 Å; angles 90.00, 90.00, 90.00 degrees
Space group I4mm (No. 107)
Asymmetric unit:
Ti  0.0000  0.0000  0.0000 (multiplicity 2)
Be  0.0000  0.0000  0.6805 (multiplicity 2)
Os  0.0000  0.0000  0.3237 (multiplicity 2)

**Total magnetic moment**: 0.0000 μB per atom
**Calculated formation energy**: -0.395 eV/atom
**Final energy**: -48.07 eV/cell
**Volume**: 78.6 Å³ per cell
**Excess energy over the best structure of this formula in the dataset**: 0.0 meV per atom

=====

VASP calculation (PBE) on Ti2BeOs2 after structural relaxation.

Cell lengths 7.0588, 7.0588, 3.0867 Å; angles 90.00, 90.00, 90.00 degrees
Space group P4/mbm (No. 127)
Asymmetric unit:
Ti  0.1547  0.3453  0.0000 (multiplicity 4)
Be  0.0000  0.0000  0.5000 (multiplicity 2)
Os  0.1478  0.6478  0.5000 (multiplicity 4)

**Total magnetic moment**: 0.0000 μB per atom
**Calculated formation energy**: -0.007 eV/atom
**Final energy**: -84.02 eV/cell
**Volume**: 153.8 Å³ per cell

=====

VASP calculation (PBE) on Ti2Be3Os after structural relaxation.

Cell lengths 4.6573, 4.6573, 11.6378 Å; angles 90.00, 90.00, 120.00 degrees
Space group R-3m (No. 166, hexagonal axes)
Asymmetric unit:
Ti  0.0000  0.0000  0.1245 (multiplicity 6)
Be  0.0000  0.5000  0.0000 (multiplicity 9)
Os  0.0000  0.0000  0.5000 (multiplicity 3)

**Total magnetic moment**: 0.0007 μB per atom
**Calculated formation energy**: -0.362 eV/atom
**Final energy**: -121.11 eV/cell
**Volume**: 218.7 Å³ per cell

=====

VASP calculation (PBE) on TiBe2Os2 after structural relaxation.

Cell lengths 6.2742, 6.2742, 2.9914 Å; angles 90.00, 90.00, 90.00 degrees
Space group P4/mbm (No. 127)
Asymmetric unit:
Ti  0.0000  0.0000  0.0000 (multiplicity 2)
Be  0.1199  0.3801  0.0000 (multiplicity 4)
Os  0.1711  0.6711  0.5000 (multiplicity 4)

**Total magnetic moment**: 0.0000 μB per atom
**Calculated formation energy**: -0.427 eV/atom
**Final energy**: -79.89 eV/cell
**Volume**: 117.8 Å³ per cell
**Excess energy over the best structure of this formula in the dataset**: 0.0 meV per atom

=====

VASP calculation (PBE) on TiBeOs after structural relaxation.

Cell lengths 5.1153, 9.5911, 6.5196 Å; angles 90.00, 90.00, 90.00 degrees
Space group Cmce (No. 64)
Asymmetric unit:
Ti  0.0000  0.1696  0.0826 (multiplicity 8)
Be  0.0000  0.0965  0.4422 (multiplicity 8)
Os  0.2500  0.0736  0.7500 (multiplicity 8)

**Total magnetic moment**: 0.0000 μB per atom
**Calculated formation energy**: -0.231 eV/atom
**Final energy**: -188.36 eV/cell
**Volume**: 319.9 Å³ per cell
**Excess energy over the best structure of this formula in the dataset**: 163.9 meV per atom

=====

VASP calculation (PBE) on Ti2BeOs after structural relaxation.

Cell lengths 4.2478, 3.0903, 8.4834 Å; angles 90.00, 90.00, 90.00 degrees
Space group Pmma (No. 51)
Asymmetric unit:
Ti  0.2500  0.0000  0.1125 (multiplicity 2)
Ti  0.2500  0.0000  0.6290 (multiplicity 2)
Be  0.2500  0.5000  0.8635 (multiplicity 2)
Os  0.2500  0.5000  0.3654 (multiplicity 2)

**Total magnetic moment**: 0.0000 μB per atom
**Calculated formation energy**: -0.446 eV/atom
**Final energy**: -65.06 eV/cell
**Volume**: 111.4 Å³ per cell

=====

VASP calculation (PBE) on TiBe3Os after structural relaxation.

Cell lengths 4.1267, 4.1267, 4.1267 Å; angles 90.00, 90.00, 90.00 degrees
Space group Pm-3m (No. 221)
Asymmetric unit:
Ti  0.0000  0.0000  0.0000 (multiplicity 1)
Be  0.0000  0.5000  0.5000 (multiplicity 3)
Os  0.5000  0.5000  0.5000 (multiplicity 1)

**Total magnetic moment**: 0.1205 μB per atom
**Calculated formation energy**: 0.434 eV/atom
**Final energy**: -28.13 eV/cell
**Volume**: 70.3 Å³ per cell
**Excess energy over the best structure of this formula in the dataset**: 0.0 meV per atom

=====

VASP calculation (PBE) on Ti2BeOs after structural relaxation.

Cell lengths 6.9226, 6.9226, 4.8754 Å; angles 90.00, 90.00, 90.00 degrees
Space group I-42d (No. 122)
Asymmetric unit:
Ti  0.2406  0.2500  0.1250 (multiplicity 8)
Be  0.0000  0.0000  0.0000 (multiplicity 4)
Os  0.0000  0.0000  0.5000 (multiplicity 4)

**Total magnetic moment**: 0.0000 μB per atom
**Calculated formation energy**: 0.248 eV/atom
**Final energy**: -119.02 eV/cell
**Volume**: 233.6 Å³ per cell

=====

VASP calculation (PBE) on BeTlOs2 after structural relaxation.

Cell lengths 3.0206, 4.8471, 8.2820 Å; angles 90.00, 90.00, 90.00 degrees
Space group Cmmm (No. 65)
Asymmetric unit:
Be  0.0000  0.0000  0.0000 (multiplicity 2)
Tl  0.0000  0.0000  0.5000 (multiplicity 2)
Os  0.0000  0.5000  0.2035 (multiplicity 4)

**Total magnetic moment**: 0.0000 μB per atom
**Calculated formation energy**: 0.761 eV/atom
**Final energy**: -51.02 eV/cell
**Volume**: 121.3 Å³ per cell
**Excess energy over the best structure of this formula in the dataset**: 284.9 meV per atom

=====

VASP calculation (PBE) on BeTl3Os after structural relaxation.

Cell lengths 5.3230, 5.3230, 5.3230 Å; angles 90.00, 90.00, 90.00 degrees
Space group Pm-3m (No. 221)
Asymmetric unit:
Be  0.0000  0.0000  0.0000 (multiplicity 1)
Tl  0.0000  0.5000  0.5000 (multiplicity 3)
Os  0.5000  0.5000  0.5000 (multiplicity 1)

**Total magnetic moment**: 0.0000 μB per atom
**Calculated formation energy**: 0.963 eV/atom
**Final energy**: -17.24 eV/cell
**Volume**: 150.8 Å³ per cell
**Excess energy over the best structure of this formula in the dataset**: 0.0 meV per atom

=====

VASP calculation (PBE) on BeTlOs4 after structural relaxation.

Cell lengths 7.3645, 7.3645, 7.3645 Å; angles 90.00, 90.00, 90.00 degrees
Space group F-43m (No. 216)
Asymmetric unit:
Be  0.0000  0.0000  0.0000 (multiplicity 4)
Tl  0.2500  0.2500  0.2500 (multiplicity 4)
Os  0.1255  0.1255  0.6255 (multiplicity 16)

**Total magnetic moment**: 0.0064 μB per atom
**Calculated formation energy**: 1.073 eV/atom
**Final energy**: -178.30 eV/cell
**Volume**: 399.4 Å³ per cell

=====

VASP calculation (PBE) on BeTlOs2 after structural relaxation.

Cell lengths 2.8846, 3.9367, 5.5262 Å; angles 90.00, 102.83, 90.00 degrees
Space group P2/m (No. 10)
Asymmetric unit:
Be  0.0000  0.0000  0.0000 (multiplicity 1)
Tl  0.0000  0.0000  0.5000 (multiplicity 1)
Os  0.3474  0.5000  0.1991 (multiplicity 2)

**Total magnetic moment**: 0.0000 μB per atom
**Calculated formation energy**: 0.615 eV/atom
**Final energy**: -26.09 eV/cell
**Volume**: 61.2 Å³ per cell
**Excess energy over the best structure of this formula in the dataset**: 139.1 meV per atom

=====

VASP calculation (PBE) on BeTlOs2 after structural relaxation.

Cell lengths 3.9026, 3.9026, 4.0291 Å; angles 90.00, 90.00, 90.00 degrees
Space group P4/mmm (No. 123)
Asymmetric unit:
Be  0.0000  0.0000  0.0000 (multiplicity 1)
Tl  0.5000  0.5000  0.0000 (multiplicity 1)
Os  0.0000  0.5000  0.5000 (multiplicity 2)

**Total magnetic moment**: 0.2153 μB per atom
**Calculated formation energy**: 0.983 eV/atom
**Final energy**: -24.62 eV/cell
**Volume**: 61.4 Å³ per cell
**Excess energy over the best structure of this formula in the dataset**: 507.4 meV per atom

=====

VASP calculation (PBE) on BeTl4Os after structural relaxation.

Cell lengths 8.5583, 8.5583, 8.5583 Å; angles 90.00, 90.00, 90.00 degrees
Space group F-43m (No. 216)
Asymmetric unit:
Be  0.0000  0.0000  0.0000 (multiplicity 4)
Tl  0.1248  0.1248  0.3752 (multiplicity 16)
Os  0.2500  0.2500  0.7500 (multiplicity 4)

**Total magnetic moment**: 0.2835 μB per atom
**Calculated formation energy**: 1.471 eV/atom
**Final energy**: -62.39 eV/cell
**Volume**: 626.8 Å³ per cell

=====

VASP calculation (PBE) on Be2TlOs2 after structural relaxation.

Cell lengths 6.9868, 6.9868, 2.8704 Å; angles 90.00, 90.00, 90.00 degrees
Space group P4/mbm (No. 127)
Asymmetric unit:
Be  0.1529  0.3471  0.0000 (multiplicity 4)
Tl  0.0000  0.0000  0.5000 (multiplicity 2)
Os  0.1313  0.6313  0.5000 (multiplicity 4)

**Total magnetic moment**: 0.0000 μB per atom
**Calculated formation energy**: 0.450 eV/atom
**Final energy**: -60.06 eV/cell
**Volume**: 140.1 Å³ per cell
**Excess energy over the best structure of this formula in the dataset**: 77.2 meV per atom

=====

VASP calculation (PBE) on BeTlOs2 after structural relaxation.

Cell lengths 2.8608, 4.9327, 9.2002 Å; angles 90.00, 90.00, 90.00 degrees
Space group Cmm2 (No. 35)
Asymmetric unit:
Be  0.0000  0.0000  0.0000 (multiplicity 2)
Tl  0.0000  0.5000  0.2765 (multiplicity 2)
Os  0.0000  0.0000  0.5664 (multiplicity 2)
Os  0.0000  0.5000  0.8035 (multiplicity 2)

**Total magnetic moment**: 0.1196 μB per atom
**Calculated formation energy**: 0.878 eV/atom
**Final energy**: -50.08 eV/cell
**Volume**: 129.8 Å³ per cell
**Excess energy over the best structure of this formula in the dataset**: 402.4 meV per atom

=====

VASP calculation (PBE) on BeTlOs2 after structural relaxation.

Cell lengths 2.8880, 2.8880, 26.2649 Å; angles 90.00, 90.00, 120.00 degrees
Space group R3m (No. 160, hexagonal axes)
Asymmetric unit:
Be  0.0000  0.0000  0.0000 (multiplicity 3)
Tl  0.0000  0.0000  0.2419 (multiplicity 3)
Os  0.0000  0.0000  0.4774 (multiplicity 3)
Os  0.0000  0.0000  0.7338 (multiplicity 3)

**Total magnetic moment**: 0.0000 μB per atom
**Calculated formation energy**: 0.621 eV/atom
**Final energy**: -78.21 eV/cell
**Volume**: 189.7 Å³ per cell
**Excess energy over the best structure of this formula in the dataset**: 144.6 meV per atom

=====

VASP calculation (PBE) on Be2TlOs after structural relaxation.

Cell lengths 9.8556, 3.1644, 3.8968 Å; angles 90.00, 112.89, 90.00 degrees
Space group Cm (No. 8)
Asymmetric unit:
Be  0.0000  0.0000  0.0000 (multiplicity 2)
Be  0.1975  0.0000  0.6931 (multiplicity 2)
Tl  0.2590  0.5000  0.2549 (multiplicity 2)
Os  0.0189  0.5000  0.5199 (multiplicity 2)

**Total magnetic moment**: 0.0000 μB per atom
**Calculated formation energy**: 0.442 eV/atom
**Final energy**: -38.56 eV/cell
**Volume**: 112.0 Å³ per cell
**Excess energy over the best structure of this formula in the dataset**: 252.0 meV per atom

=====

VASP calculation (PBE) on BeTlOs2 after structural relaxation.

Cell lengths 2.9133, 4.4936, 4.7281 Å; angles 90.00, 90.00, 90.00 degrees
Space group Pmmm (No. 47)
Asymmetric unit:
Be  0.0000  0.0000  0.0000 (multiplicity 1)
Tl  0.5000  0.0000  0.5000 (multiplicity 1)
Os  0.0000  0.5000  0.5000 (multiplicity 1)
Os  0.5000  0.5000  0.0000 (multiplicity 1)

**Total magnetic moment**: 0.0003 μB per atom
**Calculated formation energy**: 0.918 eV/atom
**Final energy**: -24.88 eV/cell
**Volume**: 61.9 Å³ per cell
**Excess energy over the best structure of this formula in the dataset**: 441.9 meV per atom

=====

VASP calculation (PBE) on Be3TlOs after structural relaxation.

Cell lengths 4.3332, 4.3332, 4.3332 Å; angles 90.00, 90.00, 90.00 degrees
Space group Pm-3m (No. 221)
Asymmetric unit:
Be  0.0000  0.0000  0.5000 (multiplicity 3)
Tl  0.5000  0.5000  0.5000 (multiplicity 1)
Os  0.0000  0.0000  0.0000 (multiplicity 1)

**Total magnetic moment**: 0.0000 μB per atom
**Calculated formation energy**: 0.641 eV/atom
**Final energy**: -21.57 eV/cell
**Volume**: 81.4 Å³ per cell
**Excess energy over the best structure of this formula in the dataset**: 0.0 meV per atom